The following is a PBE calculation of a geometry-optimized K3Na4Sr structure, from the Alexandria database.

Summary:
Raw total energy   -1.248 eV per atom
Space group   Pmmm (47)
Size of the total moment   0.000 μB/f.u.

a b c (Å): 4.448 6.740 13.589
angles (deg): 90.00 90.00 90.00
Positions (direct):
K 0.500 0.000 0.245
Sr 0.500 0.500 0.000
Na 0.000 0.000 0.500
K 0.500 0.500 0.500
Na 0.000 0.500 0.242
Na 0.000 0.000 0.000
K 0.500 0.000 0.755
Na 0.000 0.500 0.758



The following is a PBE calculation of a geometry-optimized K2NaSr structure, from the Alexandria database.

Summary:
Raw total energy   -1.213 eV per atom
Space group   P4/mmm (123)
Size of the total moment   0.000 μB/f.u.
Offset from the most stable computed form   41 meV/atom

a b c (Å): 4.420 4.420 11.891
angles (deg): 90.00 90.00 90.00
Positions (direct):
K 0.000 0.000 0.776
K 0.000 0.000 0.224
Sr 0.500 0.500 0.500
Na 0.500 0.500 0.000



The following is a PBE calculation of a geometry-optimized K5Na4Sr structure, from the Alexandria database.

Summary:
Raw total energy   -1.172 eV per atom
Space group   C2/m (12)
Size of the total moment   0.000 μB/f.u.

a b c (Å): 5.957 10.167 11.152
angles (deg): 116.71 105.49 90.00
Positions (direct):
Na 0.968 0.211 0.936
K 0.168 0.624 0.335
K 0.500 0.500 0.000
K 0.832 0.789 0.664
Na 0.032 0.789 0.064
K 0.168 0.211 0.336
Na 0.325 0.068 0.649
K 0.832 0.376 0.665
Na 0.675 0.932 0.351
Sr 0.500 0.000 0.000



The following is a PBE calculation of a geometry-optimized K4Na5Sr structure, from the Alexandria database.

Summary:
Raw total energy   -1.240 eV per atom
Space group   P4/mmm (123)
Size of the total moment   0.000 μB/f.u.

a b c (Å): 4.610 4.610 24.222
angles (deg): 90.00 90.00 90.00
Positions (direct):
Na 0.500 0.500 0.500
K 0.000 0.000 0.193
Sr 0.000 0.000 0.000
Na 0.500 0.500 0.704
Na 0.500 0.500 0.909
Na 0.500 0.500 0.296
K 0.000 0.000 0.602
K 0.000 0.000 0.807
K 0.000 0.000 0.398
Na 0.500 0.500 0.091



The following is a PBE calculation of a geometry-optimized K5Na6Sr structure, from the Alexandria database.

Summary:
Raw total energy   -1.221 eV per atom
Space group   C2/m (12)
Size of the total moment   0.000 μB/f.u.

a b c (Å): 6.571 11.389 11.389
angles (deg): 118.09 106.78 106.78
Positions (direct):
K 0.000 0.666 0.334
Na 0.755 0.593 0.918
Na 0.736 0.237 0.237
Sr 0.000 0.000 0.000
Na 0.264 0.763 0.763
K 0.000 0.334 0.666
Na 0.755 0.918 0.593
K 0.500 0.500 0.500
Na 0.245 0.082 0.407
K 0.500 0.167 0.833
K 0.500 0.833 0.167
Na 0.245 0.407 0.082



The following is a PBE calculation of a geometry-optimized K2NaSr structure, from the Alexandria database.

Summary:
Raw total energy   -1.175 eV per atom
Space group   R-3m (166)
Size of the total moment   0.000 μB/f.u.
Offset from the most stable computed form   79 meV/atom

a b c (Å): 4.265 4.265 15.191
angles (deg): 81.93 81.93 60.00
Positions (direct):
K 0.908 0.908 0.277
Na 0.500 0.500 0.500
K 0.092 0.092 0.723
Sr 0.000 0.000 0.000